[1]
This record from Alexandria via LeMat-Bulk describes a relaxed InFe2PIr crystal. The functional is PBE-GGA.

a = 4.1542 Å, b = 4.4265 Å, c = 4.1542 Å
α = 90.00°, β = 90.00°, γ = 90.00°
Closest atoms and distances in Å follow each position.
Atoms (fractional coordinates):
P: 0.0000 0.0000 0.0000  4 Fe 2.08, 2 Ir 2.21
Ir: 0.0000 0.5000 0.0000  2 P 2.21
Fe: 0.0000 0.0000 0.5000  2 P 2.08
Fe: 0.5000 0.0000 0.0000  2 P 2.08
In: 0.5000 0.5000 0.5000  4 Ir 2.94, 8 Fe 3.04

Properties
V	76	Å³ per cell
formation enthalpy at 0 K	0.174	eV/atom
uncorrected energy	-0.4861	Ry per atom



[2]
This record from Alexandria via LeMat-Bulk describes a relaxed PaInFeIr crystal. The functional is PBE-GGA.

a = 4.7224 Å, b = 4.7224 Å, c = 4.7224 Å
α = 60.00°, β = 60.00°, γ = 60.00°
Closest atoms and distances in Å follow each position.
Atoms (fractional coordinates):
Pa: 0.2500 0.2500 0.2500  4 Fe 2.89, 4 Ir 2.89
In: 0.7500 0.7500 0.7500  4 Fe 2.89, 4 Ir 2.89
Fe: 0.0000 0.0000 0.0000  4 In 2.89, 4 Pa 2.89
Ir: 0.5000 0.5000 0.5000  4 Pa 2.89, 4 In 2.89

Properties
V	74	Å³ per cell
formation enthalpy at 0 K	-0.235	eV/atom
uncorrected energy	-0.5604	Ry per atom



[3]
This record from Alexandria via LeMat-Bulk describes a relaxed InFeIrRh crystal. The functional is PBE-GGA.

a = 4.4356 Å, b = 4.4356 Å, c = 4.4356 Å
α = 60.00°, β = 60.00°, γ = 60.00°
Closest atoms and distances in Å follow each position.
Atoms (fractional coordinates):
Ir: 0.0000 0.0000 0.0000  4 In 2.72, 4 Fe 2.72
Rh: 0.5000 0.5000 0.5000  4 Fe 2.72, 4 In 2.72
Fe: 0.7500 0.7500 0.7500  4 Ir 2.72, 4 Rh 2.72
In: 0.2500 0.2500 0.2500  4 Ir 2.72, 4 Rh 2.72

Properties
V	62	Å³ per cell
formation enthalpy at 0 K	-0.095	eV/atom
uncorrected energy	-0.5107	Ry per atom



- Look up the formation enthalpy at 0 K of the first one.
  0.174 eV/atom



Please write out number 2 again, unchanged.
This record from Alexandria via LeMat-Bulk describes a relaxed PaInFeIr crystal. The functional is PBE-GGA.

a = 4.7224 Å, b = 4.7224 Å, c = 4.7224 Å
α = 60.00°, β = 60.00°, γ = 60.00°
Closest atoms and distances in Å follow each position.
Atoms (fractional coordinates):
Pa: 0.2500 0.2500 0.2500  4 Fe 2.89, 4 Ir 2.89
In: 0.7500 0.7500 0.7500  4 Fe 2.89, 4 Ir 2.89
Fe: 0.0000 0.0000 0.0000  4 In 2.89, 4 Pa 2.89
Ir: 0.5000 0.5000 0.5000  4 Pa 2.89, 4 In 2.89

Properties
V	74	Å³ per cell
formation enthalpy at 0 K	-0.235	eV/atom
uncorrected energy	-0.5604	Ry per atom